# Mg2AlZn2

Crystalline Mg2AlZn2 at its relaxed geometry (PBEsol, the Alexandria database).

Properties
- E (eV per atom) = -1.923
- symmetry = I4/mmm, No. 139
- ΔH_f (0 K) (eV per formula unit) = 1.077
- crystal system = tetragonal

Unit cell a=6.768 b=6.768 c=6.768 alpha=146.30 beta=146.30 gamma=48.40
Sites, in units of the cell vectors:
Mg  0.250  0.750  0.500
Mg  0.750  0.250  0.500
Al  0.000  0.000  0.000
Zn  0.405  0.405  0.000
Zn  0.595  0.595  0.000

# SrIN2F

Crystalline SrIN2F at its relaxed geometry (PBEsol, the Alexandria database).

Properties
- E (eV per atom) = -3.957
- symmetry = P4/mmm, No. 123
- crystal system = tetragonal
- formation energy from raw total energies (meV per atom) = 561

Unit cell a=5.173 b=5.173 c=4.463 alpha=90.00 beta=90.00 gamma=90.00
Sites, in units of the cell vectors:
Sr  0.000  0.000  0.000
I  0.500  0.500  0.500
N  0.000  0.500  0.000
N  0.500  0.000  0.000
F  0.000  0.000  0.500

# CdTcNi2

Crystalline CdTcNi2 at its relaxed geometry (PBEsol, the Alexandria database).

Properties
- E (eV per atom) = -5.994
- symmetry = Cm, No. 8
- ΔH_f (0 K) (eV per formula unit) = 0.803
- crystal system = monoclinic

Unit cell a=4.756 b=4.756 c=4.551 alpha=104.76 beta=104.76 gamma=32.11
Sites, in units of the cell vectors:
Cd  0.000  0.000  0.000
Tc  0.780  0.780  0.356
Ni  0.241  0.241  0.816
Ni  0.522  0.522  0.508

# LiZrAsBr2

Crystalline LiZrAsBr2 at its relaxed geometry (PBEsol, the Alexandria database).

Properties
- E (eV per atom) = -4.151
- symmetry = P4/mmm, No. 123
- crystal system = tetragonal
- formation energy from raw total energies (meV per atom) = -170

Unit cell a=4.439 b=4.439 c=5.304 alpha=90.00 beta=90.00 gamma=90.00
Sites, in units of the cell vectors:
Li  0.000  0.000  0.000
Zr  0.500  0.500  0.500
As  0.000  0.000  0.500
Br  0.000  0.500  0.000
Br  0.500  0.000  0.000

# Pd2IF

Crystalline Pd2IF at its relaxed geometry (PBEsol, the Alexandria database).

Properties
- E (eV per atom) = -4.159
- symmetry = Fm-3m, No. 225
- crystal system = cubic
- formation energy from raw total energies (meV per atom) = -257

Unit cell a=4.472 b=4.472 c=4.472 alpha=60.00 beta=60.00 gamma=60.00
Sites, in units of the cell vectors:
Pd  0.250  0.250  0.250
Pd  0.750  0.750  0.750
I  0.000  0.000  0.000
F  0.500  0.500  0.500

# SbP3Pt

Crystalline SbP3Pt at its relaxed geometry (PBEsol, the Alexandria database).

Properties
- E (eV per atom) = -4.094
- symmetry = Pm-3m, No. 221
- crystal system = cubic
- formation energy from raw total energies (meV per atom) = 1685

Unit cell a=4.842 b=4.842 c=4.842 alpha=90.00 beta=90.00 gamma=90.00
Sites, in units of the cell vectors:
Sb  0.000  0.000  0.000
P  0.000  0.000  0.500
P  0.000  0.500  0.000
P  0.500  0.000  0.000
Pt  0.500  0.500  0.500

# Si3NiAs

Crystalline Si3NiAs at its relaxed geometry (PBEsol, the Alexandria database).

Properties
- E (eV per atom) = -4.341
- symmetry = Pm-3m, No. 221
- crystal system = cubic
- formation energy from raw total energies (meV per atom) = 1360

Unit cell a=4.613 b=4.613 c=4.613 alpha=90.00 beta=90.00 gamma=90.00
Sites, in units of the cell vectors:
Si  0.000  0.000  0.500
Si  0.000  0.500  0.000
Si  0.500  0.000  0.000
Ni  0.500  0.500  0.500
As  0.000  0.000  0.000

# Cs2IrPb

Crystalline Cs2IrPb at its relaxed geometry (PBEsol, the Alexandria database).

Properties
- E (eV per atom) = -2.835
- symmetry = Fm-3m, No. 225
- ΔH_f (0 K) (eV per formula unit) = 4.366
- crystal system = cubic

Unit cell a=5.690 b=5.690 c=5.690 alpha=60.00 beta=60.00 gamma=60.00
Sites, in units of the cell vectors:
Cs  0.250  0.250  0.250
Cs  0.750  0.750  0.750
Ir  0.000  0.000  0.000
Pb  0.500  0.500  0.500